No. 1
First-principles (PBE) data for a relaxed SrMgAs4 crystal, as listed in Alexandria. Values from VASP.

calculated formation energy: -0.1680 eV/atom
E_tot: -3.814 eV per atom
D(E_F): 6.1 states/eV/f.u.

```
&SYSTEM
  ibrav = 0, nat = 6, ntyp = 3
/
ATOMIC_SPECIES
Sr 87.62 Sr.upf
Mg 24.30 Mg.upf
As 74.92 As.upf
CELL_PARAMETERS angstrom
0.000 4.096 4.096
4.096 0.000 4.096
4.096 4.096 0.000
ATOMIC_POSITIONS crystal
Sr 0.000 0.000 0.000
Mg 0.750 0.750 0.750
As 0.865 0.378 0.378
As 0.378 0.378 0.865
As 0.378 0.865 0.378
As 0.378 0.378 0.378
```

No. 2
First-principles (PBE) data for a relaxed ZrReIN2 crystal, as listed in Alexandria. Values from VASP.

E_tot: -7.040 eV per atom
formation energy (no corrections): 799 meV/atom
D(E_F): 4.3 states/eV/f.u.

```
&SYSTEM
  ibrav = 0, nat = 5, ntyp = 4
/
ATOMIC_SPECIES
I 126.90 I.upf
Re 186.21 Re.upf
Zr 91.22 Zr.upf
N 14.01 N.upf
CELL_PARAMETERS angstrom
-0.340 -3.857 0.900
3.943 -0.415 -0.289
0.520 1.207 5.370
ATOMIC_POSITIONS crystal
I 0.000 0.000 0.500
Re 0.000 0.000 0.000
Zr 0.500 0.500 0.500
N 0.000 0.500 0.000
N 0.500 0.000 0.000
```

No. 3
First-principles (PBE) data for a relaxed Sc2AlSb crystal, as listed in Alexandria. Values from VASP.

E_tot: -5.732 eV per atom
formation energy (no corrections): -600 meV/atom
D(E_F): 2.5 states/eV/f.u.

```
&SYSTEM
  ibrav = 0, nat = 4, ntyp = 3
/
ATOMIC_SPECIES
Sc 44.96 Sc.upf
Sb 121.76 Sb.upf
Al 26.98 Al.upf
CELL_PARAMETERS angstrom
-4.982 0.779 -2.769
-4.479 -3.335 1.383
3.906 3.227 2.724
ATOMIC_POSITIONS crystal
Sc 0.000 0.000 0.000
Sc 0.250 0.750 0.500
Sb 0.750 0.250 0.500
Al 0.500 0.500 0.000
```

No. 4
First-principles (PBE) data for a relaxed Al4PBr crystal, as listed in Alexandria. Values from VASP.

E_tot: -3.283 eV per atom
formation energy (no corrections): 392 meV/atom
D(E_F): 2.5 states/eV/f.u.

```
&SYSTEM
  ibrav = 0, nat = 6, ntyp = 3
/
ATOMIC_SPECIES
Al 26.98 Al.upf
P 30.97 P.upf
Br 79.90 Br.upf
CELL_PARAMETERS angstrom
-2.953 0.851 4.571
-1.964 5.024 1.114
-5.407 0.985 -0.358
ATOMIC_POSITIONS crystal
Al 0.626 0.626 0.123
Al 0.626 0.123 0.626
Al 0.626 0.626 0.626
Al 0.123 0.626 0.626
P 0.000 0.000 0.000
Br 0.250 0.250 0.250
```

No. 5
First-principles (PBE) data for a relaxed K2NaMn3H12 crystal, as listed in Alexandria. Values from VASP.

E_tot: -3.990 eV per atom
D(E_F): 5.0 states/eV/f.u.

```
&SYSTEM
  ibrav = 0, nat = 18, ntyp = 4
/
ATOMIC_SPECIES
K 39.10 K.upf
Na 22.99 Na.upf
Mn 54.94 Mn.upf
H 1.01 H.upf
CELL_PARAMETERS angstrom
6.648 0.314 0.223
3.556 5.626 0.223
3.556 2.070 5.236
ATOMIC_POSITIONS crystal
K 0.618 0.618 0.618
K 0.382 0.382 0.382
Na 0.000 0.000 0.000
Mn 0.500 0.000 0.000
Mn 0.000 0.500 0.000
Mn 0.000 0.000 0.500
H 0.307 0.307 0.863
H 0.893 0.893 0.422
H 0.422 0.893 0.893
H 0.863 0.307 0.307
H 0.893 0.422 0.893
H 0.307 0.863 0.307
H 0.693 0.693 0.137
H 0.107 0.107 0.578
H 0.578 0.107 0.107
H 0.137 0.693 0.693
H 0.107 0.578 0.107
H 0.693 0.137 0.693
```

No. 6
First-principles (PBE) data for a relaxed ZnTe2WBr crystal, as listed in Alexandria. Values from VASP.

E_tot: -2.766 eV per atom
formation energy (no corrections): 1671 meV/atom
D(E_F): 7.1 states/eV/f.u.

```
&SYSTEM
  ibrav = 0, nat = 5, ntyp = 4
/
ATOMIC_SPECIES
Zn 65.41 Zn.upf
Te 127.60 Te.upf
Br 79.90 Br.upf
W 183.84 W.upf
CELL_PARAMETERS angstrom
5.877 0.000 0.000
0.000 4.666 0.000
0.000 0.000 5.877
ATOMIC_POSITIONS crystal
Zn 0.500 0.500 0.500
Te 0.000 0.000 0.500
Te 0.500 0.000 0.000
Br 0.000 0.000 0.000
W 0.000 0.500 0.000
```